GGA-PBE Tb6Cd2C, optimized geometry; energy of formation from the pure elements = -0.248 eV per atom; theoretical density = 8.18 g/cm3; SG = No. 12; uncorrected energy = -82.1 eV for the cell shown
1.0
7.014 0.000 -0.171
0.000 7.004 0.000
0.277 0.000 9.829
C Cd Tb
2 4 12
Direct
0.500 0.500 0.000 C
0.000 0.000 0.500 C
0.505 0.000 0.752 Cd
0.495 0.000 0.248 Cd
0.005 0.500 0.252 Cd
0.995 0.500 0.748 Cd
0.930 0.000 0.256 Tb
0.430 0.500 0.756 Tb
0.243 0.755 0.464 Tb
0.256 0.745 0.036 Tb
0.743 0.745 0.964 Tb
0.070 0.000 0.744 Tb
0.570 0.500 0.244 Tb
0.244 0.245 0.464 Tb
0.257 0.255 0.036 Tb
0.756 0.755 0.536 Tb
0.744 0.255 0.964 Tb
0.757 0.245 0.536 Tb